[1]
Here is an optimized crystal structure of RbEu3Rh from the Alexandria database. Energies are from PBE.

Theoretical density, g/cm3: 5.318
Final energy, eV per atom: -7.937
Space group: Pm-3m

Structure (CIF):
```
data_RbEu3Rh
_cell_length_a 5.8594
_cell_length_b 5.8594
_cell_length_c 5.8594
_cell_angle_alpha 90.00
_cell_angle_beta 90.00
_cell_angle_gamma 90.00
_space_group_name_H-M_alt 'P 1'
_space_group_IT_number 1
loop_
_space_group_symop_operation_xyz
'x,y,z'
loop_
_atom_site_label
_atom_site_type_symbol
_atom_site_fract_x
_atom_site_fract_y
_atom_site_fract_z
Rb1 Rb 0.0000 0.0000 0.0000
Eu1 Eu 0.0000 0.5000 0.5000
Eu2 Eu 0.5000 0.0000 0.5000
Eu3 Eu 0.5000 0.5000 0.0000
Rh1 Rh 0.5000 0.5000 0.5000
```

---

[2]
Here is an optimized crystal structure of RbEu2Rh from the Alexandria database. Energies are from PBE.

Theoretical density, g/cm3: 5.427
Polymorph energy (0 for the lowest one), kJ/mol of atoms: 0.5
Space group: P4/mmm

Structure (CIF):
```
data_RbEu2Rh
_cell_length_a 3.6819
_cell_length_b 3.6819
_cell_length_c 11.1123
_cell_angle_alpha 90.00
_cell_angle_beta 90.00
_cell_angle_gamma 90.00
_space_group_name_H-M_alt 'P 1'
_space_group_IT_number 1
loop_
_space_group_symop_operation_xyz
'x,y,z'
loop_
_atom_site_label
_atom_site_type_symbol
_atom_site_fract_x
_atom_site_fract_y
_atom_site_fract_z
Rb1 Rb 0.0000 0.0000 0.0000
Eu1 Eu 0.5000 0.5000 0.3509
Eu2 Eu 0.5000 0.5000 0.6491
Rh1 Rh 0.0000 0.0000 0.5000
```

---

[3]
Here is an optimized crystal structure of RbEu3Ru from the Alexandria database. Energies are from PBE.

Theoretical density, g/cm3: 5.559
Final energy, eV per atom: -8.059
Space group: Pm-3m

Structure (CIF):
```
data_RbEu3Ru
_cell_length_a 5.7680
_cell_length_b 5.7680
_cell_length_c 5.7680
_cell_angle_alpha 90.00
_cell_angle_beta 90.00
_cell_angle_gamma 90.00
_space_group_name_H-M_alt 'P 1'
_space_group_IT_number 1
loop_
_space_group_symop_operation_xyz
'x,y,z'
loop_
_atom_site_label
_atom_site_type_symbol
_atom_site_fract_x
_atom_site_fract_y
_atom_site_fract_z
Rb1 Rb 0.0000 0.0000 0.0000
Eu1 Eu 0.0000 0.5000 0.5000
Eu2 Eu 0.5000 0.0000 0.5000
Eu3 Eu 0.5000 0.5000 0.0000
Ru1 Ru 0.5000 0.5000 0.5000
```